# 1
The following is a GGA-PBEsol calculation of a relaxed CaCdTe2 crystal, from the Alexandria database.

Calculated values
The crystal system is trigonal. The value obtained for the raw formation energy is -0.73 eV per atom. The calculation puts the spin magnetization at 0.0 Bohr magnetons per cell.

Cell and atoms, written as CIF:
```
data_CaCdTe2
_chemical_formula_sum 'Ca3 Cd3 Te6'
_symmetry_space_group_name_H-M 'R -3 m'
_symmetry_Int_Tables_number 166
_symmetry_space_group_name_Hall '-R 3 2"'
_cell_length_a 4.8093
_cell_length_b 4.8093
_cell_length_c 24.6396
_cell_angle_alpha 90.00
_cell_angle_beta 90.00
_cell_angle_gamma 120.00
loop_
_atom_site_label
_atom_site_fract_x
_atom_site_fract_y
_atom_site_fract_z
_atom_site_occupancy
Ca1 0.0000 0.0000 0.0000 1
Cd1 0.0000 0.0000 0.5000 1
Te1 0.0000 0.0000 0.3940 1
```

***

# 2
The following is a GGA-PBEsol calculation of a relaxed CaCdTe2 crystal, from the Alexandria database.

Calculated values
The crystal system is tetragonal. The value obtained for the raw formation energy is -0.84 eV per atom. The calculation puts the spin magnetization at 0.0 Bohr magnetons per cell.

Cell and atoms, written as CIF:
```
data_CaCdTe2
_chemical_formula_sum 'Ca4 Cd4 Te8'
_symmetry_space_group_name_H-M 'I -4 2 d'
_symmetry_Int_Tables_number 122
_symmetry_space_group_name_Hall 'I -4 2bw'
_cell_length_a 6.925
_cell_length_b 6.925
_cell_length_c 12.784
_cell_angle_alpha 90.00
_cell_angle_beta 90.00
_cell_angle_gamma 90.00
loop_
_atom_site_label
_atom_site_fract_x
_atom_site_fract_y
_atom_site_fract_z
_atom_site_occupancy
Ca1 0.000 0.000 0.000 1
Cd1 0.000 0.000 0.500 1
Te1 0.223 0.250 0.625 1
```

***

# 3
The following is a GGA-PBEsol calculation of a relaxed Ca3CdTe crystal, from the Alexandria database.

Calculated values
The crystal system is cubic. The value obtained for the raw formation energy is -0.34 eV per atom. The calculation puts the spin magnetization at 0.0 Bohr magnetons per cell.

Cell and atoms, written as CIF:
```
data_Ca3CdTe
_chemical_formula_sum 'Ca3 Cd1 Te1'
_symmetry_space_group_name_H-M 'P m -3 m'
_symmetry_Int_Tables_number 221
_symmetry_space_group_name_Hall '-P 4 2 3'
_cell_length_a 5.784
_cell_length_b 5.784
_cell_length_c 5.784
_cell_angle_alpha 90.00
_cell_angle_beta 90.00
_cell_angle_gamma 90.00
loop_
_atom_site_label
_atom_site_fract_x
_atom_site_fract_y
_atom_site_fract_z
_atom_site_occupancy
Ca1 0.000 0.000 0.500 1
Cd1 0.500 0.500 0.500 1
Te1 0.000 0.000 0.000 1
```

***

# 4
The following is a GGA-PBEsol calculation of a relaxed CaCdTe2W crystal, from the Alexandria database.

Calculated values
The crystal system is tetragonal. The value obtained for the raw formation energy is 1.02 eV per atom. The calculation puts the spin magnetization at 3.7 Bohr magnetons per cell.

Cell and atoms, written as CIF:
```
data_CaCdTe2W
_chemical_formula_sum 'Ca1 Cd1 Te2 W1'
_symmetry_space_group_name_H-M 'P 4/m m m'
_symmetry_Int_Tables_number 123
_symmetry_space_group_name_Hall '-P 4 2'
_cell_length_a 5.564
_cell_length_b 5.564
_cell_length_c 5.124
_cell_angle_alpha 90.00
_cell_angle_beta 90.00
_cell_angle_gamma 90.00
loop_
_atom_site_label
_atom_site_fract_x
_atom_site_fract_y
_atom_site_fract_z
_atom_site_occupancy
Ca1 0.000 0.000 0.000 1
Cd1 0.500 0.500 0.500 1
Te1 0.000 0.500 0.500 1
W1 0.500 0.500 0.000 1
```

***

# 5
The following is a GGA-PBEsol calculation of a relaxed CaTlCd crystal, from the Alexandria database.

Calculated values
The crystal system is hexagonal. The value obtained for the total energy is -2.36 eV/atom. The calculation puts the spin magnetization at 0.0 Bohr magnetons per cell.

Cell and atoms, written as CIF:
```
data_CaTlCd
_chemical_formula_sum 'Ca1 Tl1 Cd1'
_symmetry_space_group_name_H-M 'P -6 m 2'
_symmetry_Int_Tables_number 187
_symmetry_space_group_name_Hall 'P -6 2'
_cell_length_a 4.9719
_cell_length_b 4.9719
_cell_length_c 3.5851
_cell_angle_alpha 90.00
_cell_angle_beta 90.00
_cell_angle_gamma 120.00
loop_
_atom_site_label
_atom_site_fract_x
_atom_site_fract_y
_atom_site_fract_z
_atom_site_occupancy
Ca1 0.0000 0.0000 0.0000 1
Tl1 0.3333 0.6667 0.5000 1
Cd1 0.6667 0.3333 0.5000 1
```

***

# 6
The following is a GGA-PBEsol calculation of a relaxed Ca2TlCd crystal, from the Alexandria database.

Calculated values
The crystal system is trigonal. The value obtained for the total energy is -2.25 eV/atom. The calculation puts the spin magnetization at 0.0 Bohr magnetons per cell.

Cell and atoms, written as CIF:
```
data_Ca2TlCd
_chemical_formula_sum 'Ca6 Tl3 Cd3'
_symmetry_space_group_name_H-M 'R -3 m'
_symmetry_Int_Tables_number 166
_symmetry_space_group_name_Hall '-R 3 2"'
_cell_length_a 3.7468
_cell_length_b 3.7468
_cell_length_c 29.2811
_cell_angle_alpha 90.00
_cell_angle_beta 90.00
_cell_angle_gamma 120.00
loop_
_atom_site_label
_atom_site_fract_x
_atom_site_fract_y
_atom_site_fract_z
_atom_site_occupancy
Ca1 0.0000 0.0000 0.2501 1
Tl1 0.0000 0.0000 0.0000 1
Cd1 0.0000 0.0000 0.5000 1
```